1.
A relaxed NdSb6Pd12 crystal, computed with GGA-PBE.

## Properties
The calculation puts the uncorrected formation energy at -0.3915 eV/atom. Its space group is R-3m.

Lattice parameters (Å, degrees): 7.5714 7.5714 7.5714 104.80 104.80 104.80
Fractional coordinates of all 19 atoms:
Sb  0.3203  0.7358  0.7358
Sb  0.7358  0.3203  0.7358
Sb  0.2642  0.6797  0.2642
Sb  0.7358  0.7358  0.3203
Sb  0.6797  0.2642  0.2642
Sb  0.2642  0.2642  0.6797
Nd  0.0000  0.0000  0.0000
Pd  0.1205  0.8795  0.5000
Pd  0.8795  0.5000  0.1205
Pd  0.5000  0.8795  0.1205
Pd  0.3653  0.1221  0.3653
Pd  0.8779  0.6347  0.6347
Pd  0.6347  0.8779  0.6347
Pd  0.6347  0.6347  0.8779
Pd  0.1205  0.5000  0.8795
Pd  0.3653  0.3653  0.1221
Pd  0.8795  0.1205  0.5000
Pd  0.1221  0.3653  0.3653
Pd  0.5000  0.1205  0.8795

2.
A relaxed CaZrAu2 crystal, computed with GGA-PBE.

## Properties
Its formation energy is -0.102 eV per atom. Its space group is R3m.

Lattice parameters (Å, degrees): 9.6745 9.6745 9.6745 20.18 20.18 20.18
Fractional coordinates of all 4 atoms:
Ca  0.5094  0.5094  0.5094
Au  0.9978  0.9978  0.9978
Au  0.2544  0.2544  0.2544
Zr  0.7385  0.7385  0.7385

3.
A relaxed Tc2OsSe crystal, computed with GGA-PBE.

## Properties
The calculation puts the uncorrected formation energy at 0.6047 eV/atom. Its space group is I-4m2.

Lattice parameters (Å, degrees): 4.7894 4.7894 4.7894 131.91 131.91 70.37
Fractional coordinates of all 4 atoms:
Os  0.5000  0.5000  0.0000
Tc  0.2500  0.7500  0.5000
Tc  0.0000  0.0000  0.0000
Se  0.7500  0.2500  0.5000

no.,calculated volume (A^3/atom),M_tot (μB per formula unit)
1,20.06,0.00
2,23.57,0.00
3,14.91,0.00